Here is a relaxed structure of PmAu3 from Alexandria. Energies are from GGA-PBE.

Cell: 4.436 4.436 4.436 Å, 90.00 90.00 90.00°
Space group Pm-3m (No. 221)
Symmetry-distinct sites (fractional):
1 Pm 0.000 0.000 0.000 x1
2 Au 0.000 0.500 0.500 x3

Calculated values
- energy above the lowest structure with this stoichiometry (meV/atom) = 163
- total moment (Bohr magnetons per cell) = 0.0
- calculated density (g cm⁻³) = 14.0
- energy relative to the elements (eV per atom) = -0.49
- density of states at the Fermi level (states/eV/cell) = 3.66
- raw total energy (eV/atom) = -4.1389